A plane-wave DFT calculation with PBEsol was carried out for a relaxed CdAs2I crystal.

The structure in CIF format:
```
data_CdAs2I
_chemical_formula_sum 'Cd4 As8 I4'
_cell_length_a 7.116
_cell_length_b 7.116
_cell_length_c 7.116
_cell_angle_alpha 90.00
_cell_angle_beta 90.00
_cell_angle_gamma 90.00
_space_group_name_H-M_alt 'F m -3 m'
_space_group_IT_number 225
_space_group_name_Hall '-F 4 2 3'
loop_
_atom_site_label
_atom_site_type_symbol
_atom_site_fract_x
_atom_site_fract_y
_atom_site_fract_z
Cd1 Cd 0.000 0.000 0.000
As1 As 0.250 0.250 0.250
I1 I 0.000 0.000 0.500
```

The calculation puts the uncorrected formation energy at 2.2 eV per formula unit. The energy above the most stable polymorph in this dataset is 0.019 eV/atom. Its calculated density is 7.2 g cm⁻³. The calculated volume comes out at 22.52 Å³/atom.